The following is a GGA-PBE calculation of Ac12TbPb7 after structural relaxation, from the Alexandria database.

Unit cell a=16.9473 b=16.9473 c=9.6313 alpha=90.00 beta=90.00 gamma=120.00
Space group R-3m (No. 166, hexagonal axes)
Asymmetric unit:
1 Ac 0.0000 0.2717 0.0000 [18 per cell]
2 Ac 0.1081 0.2162 0.3838 [18 per cell]
3 Tb 0.0000 0.0000 0.0000 [3 per cell]
4 Pb 0.0000 0.0000 0.5000 [3 per cell]
5 Pb 0.1010 0.2019 0.7663 [18 per cell]

Calculated values
Formation enthalpy at 0 K: -243 meV/atom
Crystal system: trigonal

The following is a GGA-PBE calculation of Ac2Tb2Pb after structural relaxation, from the Alexandria database.

Unit cell a=4.477 b=4.477 c=19.516 alpha=90.00 beta=90.00 gamma=90.00
Space group I4/mmm (No. 139)
Asymmetric unit:
1 Ac 0.000 0.000 0.089 [4 per cell]
2 Tb 0.000 0.500 0.250 [4 per cell]
3 Pb 0.000 0.000 0.500 [2 per cell]

Calculated values
Formation enthalpy at 0 K: 153 meV/atom
Crystal system: tetragonal

The following is a GGA-PBE calculation of Ac7TbPb5 after structural relaxation, from the Alexandria database.

Unit cell a=6.989 b=11.687 c=12.076 alpha=90.00 beta=90.00 gamma=90.00
Space group Imm2 (No. 44)
Asymmetric unit:
1 Ac 0.000 0.000 0.000 [2 per cell]
2 Ac 0.000 0.000 0.357 [2 per cell]
3 Ac 0.000 0.320 0.561 [4 per cell]
4 Ac 0.000 0.336 0.047 [4 per cell]
5 Ac 0.000 0.500 0.311 [2 per cell]
6 Tb 0.000 0.000 0.678 [2 per cell]
7 Pb 0.000 0.500 0.796 [2 per cell]
8 Pb 0.233 0.236 0.804 [8 per cell]

Calculated values
Formation enthalpy at 0 K: -298 meV/atom
Crystal system: orthorhombic

The following is a GGA-PBE calculation of AcTb2Pb after structural relaxation, from the Alexandria database.

Unit cell a=7.953 b=7.953 c=7.953 alpha=90.00 beta=90.00 gamma=90.00
Space group Fm-3m (No. 225)
Asymmetric unit:
1 Ac 0.000 0.000 0.000 [4 per cell]
2 Tb 0.250 0.250 0.250 [8 per cell]
3 Pb 0.000 0.000 0.500 [4 per cell]

Calculated values
Formation enthalpy at 0 K: -66 meV/atom
Crystal system: cubic